Density functional theory data (PBE) for a geometry-optimized Tm8Zn2Fe structure.

Lattice parameters (Å, degrees): 4.902 8.253 13.586 90.00 90.00 90.00
Space group Immm (No. 71)
Unique sites:
Tm 0.000 0.000 0.126
Tm 0.000 0.223 0.344
Tm 0.000 0.325 0.000
Zn 0.000 0.500 0.198
Fe 0.000 0.500 0.500

Formation energy from the elements   0.021 eV/atom
Total DFT energy (no corrections)   -0.1555 hartree per atom
E above lowest polymorph   12.7 kJ per mole of atoms
Mass density   9.3 g cm⁻³



Density functional theory data (PBE) for a geometry-optimized PrGd2Hg structure.

Lattice parameters (Å, degrees): 4.891 4.891 4.915 90.00 90.00 90.00
Space group P4/mmm (No. 123)
Unique sites:
Pr 0.000 0.000 0.000
Gd 0.000 0.500 0.500
Hg 0.500 0.500 0.000

Formation energy from the elements   -0.184 eV/atom
Total DFT energy (no corrections)   -0.3122 hartree per atom
E above lowest polymorph   5.9 kJ per mole of atoms
Mass density   9.3 g cm⁻³



Question: Number 2 is which compound?
Answer: PrGd2Hg



Question: Among the records above, which one has the highest E above lowest polymorph?
Answer: Tm8Zn2Fe